[1]
Compound: Tb3Zn
Source: the Alexandria database
Functional: PBE
Structure: optimized geometry

Output
Energy of formation from the pure elements, meV per atom: -145

Lattice parameters (Å, degrees): 3.697 5.279 11.330 90.00 90.00 90.00
Space group Immm (No. 71)
Asymmetric unit:
Tb 0.000 0.000 0.000 (multiplicity 2)
Tb 0.000 0.500 0.213 (multiplicity 4)
Zn 0.000 0.000 0.500 (multiplicity 2)



[2]
Compound: NdPaTcNi
Source: the Alexandria database
Functional: PBE
Structure: optimized geometry

Output
Energy of formation from the pure elements, meV per atom: -27

Lattice parameters (Å, degrees): 6.904 6.904 6.904 90.00 90.00 90.00
Space group F-43m (No. 216)
Asymmetric unit:
Nd 0.000 0.000 0.000 (multiplicity 4)
Pa 0.000 0.000 0.500 (multiplicity 4)
Tc 0.250 0.250 0.250 (multiplicity 4)
Ni 0.250 0.250 0.750 (multiplicity 4)



[3]
Compound: Ac2AlSn2Au4
Source: the Alexandria database
Functional: PBE
Structure: optimized geometry

Output
Energy of formation from the pure elements, meV per atom: -623

Lattice parameters (Å, degrees): 6.812 6.812 9.834 90.00 90.00 90.00
Space group I4/mmm (No. 139)
Asymmetric unit:
Ac 0.000 0.500 0.250 (multiplicity 4)
Al 0.000 0.000 0.000 (multiplicity 2)
Sn 0.000 0.000 0.314 (multiplicity 4)
Au 0.235 0.235 0.500 (multiplicity 8)



[4]
Compound: Ba5SiN4F2
Source: the Alexandria database
Functional: PBE
Structure: optimized geometry

Output
Formation energy without anion corrections, eV/f.u.: -16.15

Lattice parameters (Å, degrees): 7.880 9.984 6.412 90.00 90.00 90.00
Space group Amm2 (No. 38)
Asymmetric unit:
Ba 0.000 0.000 0.000 (multiplicity 2)
Ba 0.285 0.183 0.485 (multiplicity 8)
Si 0.500 0.000 0.005 (multiplicity 2)
N 0.310 0.000 0.169 (multiplicity 4)
N 0.500 0.145 0.834 (multiplicity 4)
F 0.000 0.222 0.753 (multiplicity 4)



[5]
Compound: SmSn2As2Rh7
Source: the Alexandria database
Functional: PBE
Structure: optimized geometry

Output
Energy of formation from the pure elements, meV per atom: -294

Lattice parameters (Å, degrees): 5.577 5.551 14.524 90.00 97.92 90.00
Space group C2/m (No. 12)
Asymmetric unit:
Sm 0.000 0.000 0.000 (multiplicity 2)
Sn 0.121 0.000 0.400 (multiplicity 4)
As 0.089 0.500 0.252 (multiplicity 4)
Rh 0.000 0.500 0.000 (multiplicity 2)
Rh 0.135 0.500 0.423 (multiplicity 4)
Rh 0.196 0.250 0.847 (multiplicity 8)



[6]
Compound: NaHfTe2S6
Source: the Alexandria database
Functional: PBE
Structure: optimized geometry

Output
Formation energy without anion corrections, eV/f.u.: -5.32

Lattice parameters (Å, degrees): 6.546 6.689 7.481 114.63 91.37 116.19
Space group P1 (No. 1)
Asymmetric unit:
Na 0.000 0.000 0.000 (multiplicity 1)
Hf 0.518 0.062 0.565 (multiplicity 1)
Te 0.209 0.419 0.610 (multiplicity 1)
Te 0.677 0.426 0.167 (multiplicity 1)
S 0.153 0.973 0.361 (multiplicity 1)
S 0.355 0.917 0.816 (multiplicity 1)
S 0.431 0.595 0.335 (multiplicity 1)
S 0.574 0.496 0.797 (multiplicity 1)
S 0.765 0.211 0.327 (multiplicity 1)
S 0.926 0.252 0.795 (multiplicity 1)



[7]
Compound: Cd5Sn12Ge3
Source: the Alexandria database
Functional: PBE
Structure: optimized geometry

Output
Energy of formation from the pure elements, meV per atom: 214

Lattice parameters (Å, degrees): 17.163 17.163 17.163 90.00 90.00 90.00
Space group Ia-3d (No. 230)
Asymmetric unit:
Cd 0.000 0.000 0.000 (multiplicity 16)
Cd 0.000 0.250 0.375 (multiplicity 24)
Sn 0.008 0.079 0.652 (multiplicity 96)
Ge 0.000 0.250 0.125 (multiplicity 24)



[8]
Compound: Y2Fe3B6
Source: the Alexandria database
Functional: PBE
Structure: optimized geometry

Output
Energy of formation from the pure elements, meV per atom: -470

Lattice parameters (Å, degrees): 7.546 8.884 3.509 90.00 90.00 90.00
Space group Cmmm (No. 65)
Asymmetric unit:
Y 0.000 0.214 0.000 (multiplicity 4)
Fe 0.000 0.500 0.500 (multiplicity 2)
Fe 0.207 0.500 0.000 (multiplicity 4)
B 0.119 0.000 0.500 (multiplicity 4)
B 0.233 0.347 0.500 (multiplicity 8)



[9]
Compound: BaNa7Sr3
Source: the Alexandria database
Functional: PBE
Structure: optimized geometry

Output
Energy of formation from the pure elements, meV per atom: 92

Lattice parameters (Å, degrees): 12.656 10.713 7.578 90.00 91.85 90.00
Space group C2/m (No. 12)
Asymmetric unit:
Ba 0.000 0.000 0.000 (multiplicity 2)
Na 0.000 0.000 0.500 (multiplicity 2)
Na 0.248 0.181 0.785 (multiplicity 8)
Na 0.249 0.000 0.350 (multiplicity 4)
Sr 0.000 0.315 0.500 (multiplicity 4)
Sr 0.000 0.500 0.000 (multiplicity 2)



[10]
Compound: Ca2C
Source: the Alexandria database
Functional: PBE
Structure: optimized geometry

Output
Energy of formation from the pure elements, meV per atom: 574

Lattice parameters (Å, degrees): 3.6426 3.6426 6.9720 90.00 90.00 120.00
Space group P-6m2 (No. 187)
Asymmetric unit:
Ca 0.0000 0.0000 0.2087 (multiplicity 2)
C 0.3333 0.6667 0.0000 (multiplicity 1)



[11]
Compound: DyCuGe2Pt4
Source: the Alexandria database
Functional: PBE
Structure: optimized geometry

Output
Energy of formation from the pure elements, meV per atom: -594

Lattice parameters (Å, degrees): 4.2674 4.2674 26.1218 90.00 90.00 120.00
Space group R-3m (No. 166, hexagonal axes)
Asymmetric unit:
Dy 0.0000 0.0000 0.0000 (multiplicity 3)
Cu 0.0000 0.0000 0.5000 (multiplicity 3)
Ge 0.0000 0.0000 0.2445 (multiplicity 6)
Pt 0.0000 0.0000 0.1347 (multiplicity 6)
Pt 0.0000 0.0000 0.4020 (multiplicity 6)



[12]
Compound: KRb2F
Source: the Alexandria database
Functional: PBE
Structure: optimized geometry

Output
Formation energy without anion corrections, eV/f.u.: -2.82

Lattice parameters (Å, degrees): 9.481 9.481 9.481 90.00 90.00 90.00
Space group Fm-3m (No. 225)
Asymmetric unit:
K 0.000 0.000 0.000 (multiplicity 4)
Rb 0.250 0.250 0.250 (multiplicity 8)
F 0.000 0.000 0.500 (multiplicity 4)



Number 1: N(E_F) 9.25 states/eV/cell. Number 2: N(E_F) 16.80 states/eV/cell. Number 3: N(E_F) 6.08 states/eV/cell. Number 4: N(E_F) 1.52 states/eV/cell. Number 5: N(E_F) 19.55 states/eV/cell. Number 6: N(E_F) 3.31 states/eV/cell. Number 7: N(E_F) 56.05 states/eV/cell. Number 8: N(E_F) 13.09 states/eV/cell. Number 9: N(E_F) 17.61 states/eV/cell. Number 10: N(E_F) 2.36 states/eV/cell. Number 11: N(E_F) 8.07 states/eV/cell. Number 12: N(E_F) 0.34 states/eV/cell.